Here is a geometry-optimized KBe2Tl structure from Alexandria via LeMat-Bulk. Energies are from PBE.

Properties
ΔE to the lowest computed polymorph: 8 meV per atom
E_form: 0.40 eV/atom

Cell: 4.215 4.215 6.759 Å, 71.84 71.84 60.00°
Element x y z (fractional)
Be (0.991, 0.991, 0.027)
K (0.502, 0.502, 0.496)
Tl (0.686, 0.686, 0.941)
Be (0.321, 0.321, 0.037)